No. 1
Here is MoPt14Rh after structural relaxation from Alexandria. Energies are from PBE-GGA.

Output
Energy relative to the elements (meV per atom): -102
Magnetic moment (μB/cell): 0.00
Electronic total energy (eV/cell): -104.38

abc: 5.6217 5.6217 7.8601
angles: 90.00 90.00 90.00
Last column: nearest neighbours and their distance in Å.
Space group P4/mmm (No. 123)
Symmetry-distinct sites (fractional):
Mo 0.0000 0.0000 0.0000 (multiplicity 1)  12 Pt 2.75-2.81
Pt 0.0000 0.0000 0.5000 (multiplicity 1)  12 Pt 2.81-2.82
Pt 0.0000 0.5000 0.0000 (multiplicity 2)  8 Pt 2.76, 2 Mo 2.81, 2 Rh 2.81
Pt 0.0000 0.5000 0.5000 (multiplicity 2)  12 Pt 2.81-2.83
Pt 0.2485 0.2485 0.2439 (multiplicity 8)  1 Mo 2.75, 10 Pt 2.76-2.84, 1 Rh 2.77
Pt 0.5000 0.5000 0.5000 (multiplicity 1)  12 Pt 2.81-2.84
Rh 0.5000 0.5000 0.0000 (multiplicity 1)  12 Pt 2.77-2.81

=====

No. 2
Here is Mo2Pt6Rh after structural relaxation from Alexandria. Energies are from PBE-GGA.

Output
Energy relative to the elements (meV per atom): -290
Magnetic moment (μB/cell): 0.00
Electronic total energy (eV/cell): -135.74

abc: 8.8771 3.9251 8.3921
angles: 90.00 108.99 90.00
Last column: nearest neighbours and their distance in Å.
Space group C2/m (No. 12)
Symmetry-distinct sites (fractional):
Mo 0.1673 0.0000 0.2257 (multiplicity 4)  10 Pt 2.74-2.82, 2 Rh 2.80
Pt 0.0020 0.5000 0.6766 (multiplicity 4)  1 Rh 2.72, 3 Mo 2.75-2.78, 8 Pt 2.76-2.95
Pt 0.1679 0.0000 0.8947 (multiplicity 4)  5 Pt 2.72-2.83, 3 Rh 2.78-2.79, 4 Mo 2.78-2.82
Pt 0.1719 0.0000 0.5588 (multiplicity 4)  3 Mo 2.74-2.78, 9 Pt 2.76-2.89
Rh 0.0000 0.5000 0.0000 (multiplicity 2)  8 Pt 2.72-2.79, 4 Mo 2.80

=====

No. 3
Here is MoPt3Rh2 after structural relaxation from Alexandria. Energies are from PBE-GGA.

Output
Energy relative to the elements (meV per atom): -50
Magnetic moment (μB/cell): 0.00
Electronic total energy (eV/cell): -175.81

abc: 13.8169 2.7440 11.0180
angles: 90.00 116.62 90.00
Last column: nearest neighbours and their distance in Å.
Space group C2/m (No. 12)
Symmetry-distinct sites (fractional):
Mo 0.0656 0.0000 0.1544 (multiplicity 4)  4 Rh 2.54-2.72, 4 Pt 2.73-2.81, 2 Mo 2.74
Pt 0.0441 0.5000 0.7215 (multiplicity 4)  3 Rh 2.74-2.75, 8 Pt 2.74-3.02, 2 Mo 2.81
Pt 0.1062 0.0000 0.5399 (multiplicity 4)  6 Pt 2.66-2.86, 3 Rh 2.70-2.72
Pt 0.2476 0.5000 0.1930 (multiplicity 4)  4 Rh 2.67-2.80, 5 Pt 2.72-2.94, 2 Mo 2.73
Rh 0.1397 0.0000 0.9637 (multiplicity 4)  2 Mo 2.54-2.72, 5 Pt 2.67-2.80, 2 Rh 2.74
Rh 0.1771 0.5000 0.3847 (multiplicity 4)  2 Mo 2.68, 5 Pt 2.69-2.74, 4 Rh 2.74-2.79

=====

No. 4
Here is Mo2PtRh after structural relaxation from Alexandria. Energies are from PBE-GGA.

Output
Energy relative to the elements (meV per atom): -257
Magnetic moment (μB/cell): 0.00
Electronic total energy (eV/cell): -36.08

abc: 3.8657 3.8657 4.0515
angles: 90.00 90.00 90.00
Last column: nearest neighbours and their distance in Å.
Space group P4/mmm (No. 123)
Symmetry-distinct sites (fractional):
Mo 0.0000 0.5000 0.0000 (multiplicity 2)  4 Mo 2.73, 4 Rh 2.80, 4 Pt 2.80
Pt 0.0000 0.0000 0.5000 (multiplicity 1)  4 Rh 2.73, 8 Mo 2.80
Rh 0.5000 0.5000 0.5000 (multiplicity 1)  4 Pt 2.73, 8 Mo 2.80

=====

Question: Which of these has the lowest energy relative to the elements?
Answer: Mo2Pt6Rh

=====

Question: Number 2 is which compound?
Answer: Mo2Pt6Rh

=====

What did the third record say?
Here is MoPt3Rh2 after structural relaxation from Alexandria. Energies are from PBE-GGA.

Output
Energy relative to the elements (meV per atom): -50
Magnetic moment (μB/cell): 0.00
Electronic total energy (eV/cell): -175.81

abc: 13.8169 2.7440 11.0180
angles: 90.00 116.62 90.00
Last column: nearest neighbours and their distance in Å.
Space group C2/m (No. 12)
Symmetry-distinct sites (fractional):
Mo 0.0656 0.0000 0.1544 (multiplicity 4)  4 Rh 2.54-2.72, 4 Pt 2.73-2.81, 2 Mo 2.74
Pt 0.0441 0.5000 0.7215 (multiplicity 4)  3 Rh 2.74-2.75, 8 Pt 2.74-3.02, 2 Mo 2.81
Pt 0.1062 0.0000 0.5399 (multiplicity 4)  6 Pt 2.66-2.86, 3 Rh 2.70-2.72
Pt 0.2476 0.5000 0.1930 (multiplicity 4)  4 Rh 2.67-2.80, 5 Pt 2.72-2.94, 2 Mo 2.73
Rh 0.1397 0.0000 0.9637 (multiplicity 4)  2 Mo 2.54-2.72, 5 Pt 2.67-2.80, 2 Rh 2.74
Rh 0.1771 0.5000 0.3847 (multiplicity 4)  2 Mo 2.68, 5 Pt 2.69-2.74, 4 Rh 2.74-2.79